Run a
## Zr3ScAg (PBE)

Data for an optimized crystal structure of Zr3ScAg.

Cell: 5.0268 5.0268 5.0268 Å, 90.00 90.00 90.00°
Last column: nearest neighbours and their distance in Å.
Sites, in units of the cell vectors:
1 Zr 0.0000 0.0000 0.5000  2 Sc 2.51
2 Zr 0.0000 0.5000 0.0000  2 Sc 2.51
3 Zr 0.5000 0.0000 0.0000  2 Sc 2.51
4 Sc 0.0000 0.0000 0.0000  6 Zr 2.51
5 Ag 0.5000 0.5000 0.5000  12 Zr 3.55

SG: Pm-3m (221)

Run b
## Zr3ScAg (PBE)

Data for an optimized crystal structure of Zr3ScAg.

Cell: 5.1691 5.1691 5.1691 Å, 90.00 90.00 90.00°
Last column: nearest neighbours and their distance in Å.
Sites, in units of the cell vectors:
1 Zr 0.0000 0.0000 0.5000  2 Ag 2.58
2 Zr 0.0000 0.5000 0.0000  2 Ag 2.58
3 Zr 0.5000 0.0000 0.0000  2 Ag 2.58
4 Sc 0.5000 0.5000 0.5000  12 Zr 3.66
5 Ag 0.0000 0.0000 0.0000  6 Zr 2.58

SG: Pm-3m (221)

Of all the structures shown, which is most stable? run b, and run a is the least stable.